w:
Entry from the Alexandria database: a relaxed BaTiMn3 crystal (GGA-PBE).

The space group is Pm-3m (No. 221) and the conventional cell measures 5.1200, 5.1200 and 5.1200 Å, with angles of 90.00, 90.00 and 90.00 degrees. Symmetry generates all atoms from Ba at (0.0000, 0.0000, 0.0000), Ti at (0.5000, 0.5000, 0.5000) and Mn at (0.0000, 0.0000, 0.5000).

As for the density of states at the Fermi level: 12.4 states/eV/cell.

=====

x:
Entry from the Alexandria database: a relaxed BaTiMn3 crystal (GGA-PBE).

The space group is Pm-3m (No. 221) and the conventional cell measures 4.9354, 4.9354 and 4.9354 Å, with angles of 90.00, 90.00 and 90.00 degrees. Symmetry generates all atoms from Ba at (0.0000, 0.0000, 0.0000), Ti at (0.5000, 0.5000, 0.5000) and Mn at (0.0000, 0.5000, 0.5000).

As for the density of states at the Fermi level: 3.8 states/eV/cell.

=====

List of relative energies, unit meV/atom: w 1411; x 0

=====

w:
Entry from the Alexandria database: a relaxed BaMn2Tl crystal (GGA-PBE).

The space group is I-4m2 (No. 119) and the conventional cell measures 5.3118, 5.3118 and 7.7490 Å, with angles of 90.00, 90.00 and 90.00 degrees. Symmetry generates all atoms from Ba at (0.0000, 0.0000, 0.0000), Mn at (0.0000, 0.0000, 0.5000), Mn at (0.0000, 0.5000, 0.7500) and Tl at (0.0000, 0.5000, 0.2500).

As for the density of states at the Fermi level: 7.4 states/eV/cell.

=====

x:
Entry from the Alexandria database: a relaxed BaMn2Tl crystal (GGA-PBE).

The space group is R3m (No. 160, hexagonal axes) and the conventional cell measures 4.5666, 4.5666 and 18.5185 Å, with angles of 90.00, 90.00 and 120.00 degrees. Symmetry generates all atoms from Ba at (0.0000, 0.0000, 0.0000), Mn at (0.0000, 0.0000, 0.1960), Mn at (0.0000, 0.0000, 0.5221) and Tl at (0.0000, 0.0000, 0.8036).

As for the density of states at the Fermi level: 12.8 states/eV/cell.

=====

y:
Entry from the Alexandria database: a relaxed BaMn2Tl crystal (GGA-PBE).

The space group is R-3m (No. 166, hexagonal axes) and the conventional cell measures 4.7596, 4.7596 and 17.4570 Å, with angles of 90.00, 90.00 and 120.00 degrees. Symmetry generates all atoms from Ba at (0.0000, 0.0000, 0.0000), Mn at (0.0000, 0.0000, 0.1952) and Tl at (0.0000, 0.0000, 0.5000).

As for the density of states at the Fermi level: 20.7 states/eV/cell.

=====

List of relative energies, unit meV/atom: w 369; x 0; y 180

=====

w:
Entry from the Alexandria database: a relaxed BaMn2Tl crystal (GGA-PBE).

The space group is Fm-3m (No. 225) and the conventional cell measures 7.4382, 7.4382 and 7.4382 Å, with angles of 90.00, 90.00 and 90.00 degrees. Symmetry generates all atoms from Ba at (0.0000, 0.0000, 0.0000), Mn at (0.2500, 0.2500, 0.2500) and Tl at (0.0000, 0.0000, 0.5000).

As for the density of states at the Fermi level: 50.6 states/eV/cell.

=====

x:
Entry from the Alexandria database: a relaxed BaMn2Tl crystal (GGA-PBE).

The space group is I-42d (No. 122) and the conventional cell measures 8.4775, 8.4775 and 6.7157 Å, with angles of 90.00, 90.00 and 90.00 degrees. Symmetry generates all atoms from Ba at (0.0000, 0.0000, 0.0000), Mn at (0.1932, 0.2500, 0.6250) and Tl at (0.0000, 0.0000, 0.5000).

As for the density of states at the Fermi level: 12.9 states/eV/cell.

=====

List of relative energies, unit meV/atom: w 0; x 124

=====

w:
Entry from the Alexandria database: a relaxed BaMn2Tl crystal (GGA-PBE).

The space group is R-3m (No. 166, hexagonal axes) and the conventional cell measures 3.5714, 3.5714 and 29.3599 Å, with angles of 90.00, 90.00 and 120.00 degrees. Symmetry generates all atoms from Ba at (0.0000, 0.0000, 0.0000), Mn at (0.0000, 0.0000, 0.2383) and Tl at (0.0000, 0.0000, 0.5000).

As for the density of states at the Fermi level: 9.3 states/eV/cell.

=====

x:
Entry from the Alexandria database: a relaxed BaMn2Tl crystal (GGA-PBE).

The space group is Pmmm (No. 47) and the conventional cell measures 4.5775, 4.8987 and 4.9090 Å, with angles of 90.00, 90.00 and 90.00 degrees. Symmetry generates all atoms from Ba at (0.0000, 0.0000, 0.0000), Mn at (0.5000, 0.0000, 0.5000), Mn at (0.5000, 0.5000, 0.0000) and Tl at (0.0000, 0.5000, 0.5000).

As for the density of states at the Fermi level: 4.1 states/eV/cell.

=====

y:
Entry from the Alexandria database: a relaxed BaMn2Tl crystal (GGA-PBE).

The space group is Imm2 (No. 44) and the conventional cell measures 3.5521, 5.5047 and 10.7015 Å, with angles of 90.00, 90.00 and 90.00 degrees. Symmetry generates all atoms from Ba at (0.0000, 0.0000, 0.0000), Mn at (0.0000, 0.0000, 0.4912), Mn at (0.0000, 0.5000, 0.7896) and Tl at (0.0000, 0.5000, 0.2137).

As for the density of states at the Fermi level: 8.5 states/eV/cell.

=====

List of relative energies, unit meV/atom: w 197; x 67; y 0

=====

w:
Entry from the Alexandria database: a relaxed BaMnTl crystal (GGA-PBE).

The space group is F-43m (No. 216) and the conventional cell measures 7.3839, 7.3839 and 7.3839 Å, with angles of 90.00, 90.00 and 90.00 degrees. Symmetry generates all atoms from Ba at (0.0000, 0.0000, 0.0000), Mn at (0.2500, 0.2500, 0.2500) and Tl at (0.0000, 0.0000, 0.5000).

As for the density of states at the Fermi level: 10.3 states/eV/cell.

=====

x:
Entry from the Alexandria database: a relaxed BaMnTl crystal (GGA-PBE).

The space group is Pm (No. 6) and the conventional cell measures 5.6501, 4.5242 and 7.9635 Å, with angles of 90.00, 104.25 and 90.00 degrees. Symmetry generates all atoms from Ba at (0.0000, 0.0000, 0.0000), Ba at (0.3796, 0.0000, 0.6066), Mn at (0.3368, 0.5000, 0.2965), Mn at (0.5868, 0.0000, 0.2368), Tl at (0.4978, 0.5000, 0.9880) and Tl at (0.8673, 0.5000, 0.4190).

As for the density of states at the Fermi level: 4.5 states/eV/cell.

=====

List of relative energies, unit meV/atom: w 189; x 0

=====

w:
Entry from the Alexandria database: a relaxed BaMnTl crystal (GGA-PBE).

The space group is F-43m (No. 216) and the conventional cell measures 7.7827, 7.7827 and 7.7827 Å, with angles of 90.00, 90.00 and 90.00 degrees. Symmetry generates all atoms from Ba at (0.0000, 0.0000, 0.0000), Mn at (0.2500, 0.2500, 0.2500) and Tl at (0.2500, 0.2500, 0.7500).

As for the density of states at the Fermi level: 11.1 states/eV/cell.

=====

x:
Entry from the Alexandria database: a relaxed BaMnTl crystal (GGA-PBE).

The space group is C2/m (No. 12) and the conventional cell measures 12.6747, 4.6394 and 8.1440 Å, with angles of 90.00, 127.74 and 90.00 degrees. Symmetry generates all atoms from Ba at (0.0679, 0.0000, 0.2998), Mn at (0.1281, 0.5000, 0.6853) and Tl at (0.2052, 0.5000, 0.1031).

As for the density of states at the Fermi level: 12.4 states/eV/cell.

=====

List of relative energies, unit meV/atom: w 584; x 0

=====

w:
Entry from the Alexandria database: a relaxed BaMnTl crystal (GGA-PBE).

The space group is R3m (No. 160, hexagonal axes) and the conventional cell measures 4.7035, 4.7035 and 32.6542 Å, with angles of 90.00, 90.00 and 120.00 degrees. Symmetry generates all atoms from Ba at (0.0000, 0.0000, 0.0000), Ba at (0.0000, 0.0000, 0.4845), Mn at (0.0000, 0.0000, 0.2337), Mn at (0.0000, 0.0000, 0.8924), Tl at (0.0000, 0.0000, 0.5946) and Tl at (0.0000, 0.0000, 0.7418).

As for the density of states at the Fermi level: 21.0 states/eV/cell.

=====

x:
Entry from the Alexandria database: a relaxed BaMnTl crystal (GGA-PBE).

The space group is Cm (No. 8) and the conventional cell measures 12.0342, 5.1286 and 8.4255 Å, with angles of 90.00, 134.32 and 90.00 degrees. Symmetry generates all atoms from Ba at (0.0000, 0.0000, 0.0000), Ba at (0.0969, 0.0000, 0.5972), Mn at (0.3874, 0.0000, 0.2108), Mn at (0.3870, 0.0000, 0.5633), Tl at (0.2154, 0.5000, 0.0199) and Tl at (0.2154, 0.5000, 0.4113).

As for the density of states at the Fermi level: 8.4 states/eV/cell.

=====

y:
Entry from the Alexandria database: a relaxed BaMnTl crystal (GGA-PBE).

The space group is Immm (No. 71) and the conventional cell measures 4.9719, 8.8654 and 8.9137 Å, with angles of 90.00, 90.00 and 90.00 degrees. Symmetry generates all atoms from Ba at (0.0000, 0.2450, 0.0000), Mn at (0.0000, 0.0000, 0.3373) and Tl at (0.0000, 0.5000, 0.3178).

As for the density of states at the Fermi level: 9.9 states/eV/cell.

=====

z:
Entry from the Alexandria database: a relaxed BaMnTl crystal (GGA-PBE).

The space group is I4mm (No. 107) and the conventional cell measures 3.8561, 3.8561 and 12.3997 Å, with angles of 90.00, 90.00 and 90.00 degrees. Symmetry generates all atoms from Ba at (0.0000, 0.0000, 0.0000), Mn at (0.0000, 0.0000, 0.2933) and Tl at (0.0000, 0.0000, 0.7077).

As for the density of states at the Fermi level: 4.5 states/eV/cell.

=====

List of relative energies, unit meV/atom: w 52; x 0; y 63; z 112

=====

w:
Entry from the Alexandria database: a relaxed BaMn3Tl crystal (GGA-PBE).

The space group is Pm-3m (No. 221) and the conventional cell measures 5.6529, 5.6529 and 5.6529 Å, with angles of 90.00, 90.00 and 90.00 degrees. Symmetry generates all atoms from Ba at (0.0000, 0.0000, 0.0000), Mn at (0.0000, 0.0000, 0.5000) and Tl at (0.5000, 0.5000, 0.5000).

As for the density of states at the Fermi level: 2.4 states/eV/cell.

=====

x:
Entry from the Alexandria database: a relaxed BaMn3Tl crystal (GGA-PBE).

The space group is Pm-3m (No. 221) and the conventional cell measures 5.2639, 5.2639 and 5.2639 Å, with angles of 90.00, 90.00 and 90.00 degrees. Symmetry generates all atoms from Ba at (0.0000, 0.0000, 0.0000), Mn at (0.0000, 0.5000, 0.5000) and Tl at (0.5000, 0.5000, 0.5000).

As for the density of states at the Fermi level: 2.6 states/eV/cell.

=====

List of relative energies, unit meV/atom: w 926; x 0

=====

w:
Entry from the Alexandria database: a relaxed BaMn3V crystal (GGA-PBE).

The space group is Pm-3m (No. 221) and the conventional cell measures 4.8500, 4.8500 and 4.8500 Å, with angles of 90.00, 90.00 and 90.00 degrees. Symmetry generates all atoms from Ba at (0.0000, 0.0000, 0.0000), Mn at (0.0000, 0.5000, 0.5000) and V at (0.5000, 0.5000, 0.5000).

As for the density of states at the Fermi level: 3.7 states/eV/cell.

=====

x:
Entry from the Alexandria database: a relaxed BaMn3V crystal (GGA-PBE).

The space group is Pm-3m (No. 221) and the conventional cell measures 5.1272, 5.1272 and 5.1272 Å, with angles of 90.00, 90.00 and 90.00 degrees. Symmetry generates all atoms from Ba at (0.0000, 0.0000, 0.0000), Mn at (0.0000, 0.0000, 0.5000) and V at (0.5000, 0.5000, 0.5000).

As for the density of states at the Fermi level: 6.4 states/eV/cell.

=====

List of relative energies, unit meV/atom: w 0; x 1634

=====

w:
Entry from the Alexandria database: a relaxed BaMn2W crystal (GGA-PBE).

The space group is Imm2 (No. 44) and the conventional cell measures 3.4132, 4.0120 and 13.7686 Å, with angles of 90.00, 90.00 and 90.00 degrees. Symmetry generates all atoms from Ba at (0.0000, 0.0000, 0.0000), Mn at (0.0000, 0.0000, 0.6477), Mn at (0.0000, 0.5000, 0.7682) and W at (0.0000, 0.5000, 0.2674).

As for the density of states at the Fermi level: 6.9 states/eV/cell.

=====

x:
Entry from the Alexandria database: a relaxed BaMn2W crystal (GGA-PBE).

The space group is Immm (No. 71) and the conventional cell measures 3.3516, 5.7350 and 9.6475 Å, with angles of 90.00, 90.00 and 90.00 degrees. Symmetry generates all atoms from Ba at (0.0000, 0.0000, 0.0000), Mn at (0.0000, 0.5000, 0.1966) and W at (0.0000, 0.0000, 0.5000).

As for the density of states at the Fermi level: 10.1 states/eV/cell.

=====

y:
Entry from the Alexandria database: a relaxed BaMn2W crystal (GGA-PBE).

The space group is Pmmm (No. 47) and the conventional cell measures 3.6883, 4.6061 and 4.7777 Å, with angles of 90.00, 90.00 and 90.00 degrees. Symmetry generates all atoms from Ba at (0.0000, 0.0000, 0.0000), Mn at (0.0000, 0.5000, 0.5000), Mn at (0.5000, 0.5000, 0.0000) and W at (0.5000, 0.0000, 0.5000).

As for the density of states at the Fermi level: 3.8 states/eV/cell.

=====

List of relative energies, unit meV/atom: w 0; x 332; y 601

=====

w:
Entry from the Alexandria database: a relaxed BaMn2W crystal (GGA-PBE).

The space group is Cmmm (No. 65) and the conventional cell measures 6.3535, 8.1391 and 3.0480 Å, with angles of 90.00, 90.00 and 90.00 degrees. Symmetry generates all atoms from Ba at (0.0000, 0.0000, 0.0000), Mn at (0.2500, 0.2500, 0.5000) and W at (0.0000, 0.5000, 0.0000).

As for the density of states at the Fermi level: 8.5 states/eV/cell.

=====

x:
Entry from the Alexandria database: a relaxed BaMn2W crystal (GGA-PBE).

The space group is Pmmm (No. 47) and the conventional cell measures 3.1999, 3.2107 and 8.0073 Å, with angles of 90.00, 90.00 and 90.00 degrees. Symmetry generates all atoms from Ba at (0.0000, 0.0000, 0.0000), Mn at (0.5000, 0.5000, 0.3366) and W at (0.0000, 0.0000, 0.5000).

As for the density of states at the Fermi level: 3.5 states/eV/cell.

=====

y:
Entry from the Alexandria database: a relaxed BaMn2W crystal (GGA-PBE).

The space group is R-3m (No. 166, hexagonal axes) and the conventional cell measures 3.1685, 3.1685 and 28.6168 Å, with angles of 90.00, 90.00 and 120.00 degrees. Symmetry generates all atoms from Ba at (0.0000, 0.0000, 0.0000), Mn at (0.0000, 0.0000, 0.2302) and W at (0.0000, 0.0000, 0.5000).

As for the density of states at the Fermi level: 13.6 states/eV/cell.

=====

List of relative energies, unit meV/atom: w 636; x 0; y 370